(1)
# La3ZrTl

A relaxed La3ZrTl crystal (GGA-PBE, the Alexandria database).

POSCAR file:
```
La3ZrTl
1.0
5.7042 0.0000 0.0000
0.0000 5.7042 0.0000
0.0000 0.0000 5.7042
La Zr Tl
3 1 1
Cartesian
0.0000 0.0000 2.8521 La
0.0000 2.8521 0.0000 La
2.8521 0.0000 0.0000 La
0.0000 0.0000 0.0000 Zr
2.8521 2.8521 2.8521 Tl
```

Calculated density: 6.373 g cm⁻³
M_tot: 0.0 μB per formula unit
Uncorrected energy: -23.94 eV/cell
ΔE to the lowest computed polymorph: 0 meV per atom
Formation energy from the elements: 0.351 eV per atom



(2)
# Y2NiBr

A relaxed Y2NiBr crystal (GGA-PBE, the Alexandria database).

POSCAR file:
```
Y2NiBr
1.0
3.5473 0.0000 0.0000
0.0000 3.6432 0.0000
0.0000 0.0000 15.4778
Y Ni Br
4 2 2
Cartesian
0.0000 0.0000 0.0000 Y
0.0000 1.8216 4.5882 Y
1.7736 0.0000 12.3271 Y
1.7736 1.8216 7.7389 Y
0.0000 0.0000 6.5854 Ni
1.7736 1.8216 14.3243 Ni
0.0000 1.8216 10.4342 Br
1.7736 0.0000 2.6953 Br
```

Calculated density: 5.253 g cm⁻³
M_tot: 0.0 μB per formula unit
Uncorrected energy: -45.98 eV/cell
ΔE to the lowest computed polymorph: 151 meV per atom
Formation energy without anion corrections: -0.6521 eV per atom



(3)
# LiHoScAu

A relaxed LiHoScAu crystal (GGA-PBE, the Alexandria database).

POSCAR file:
```
LiHoScAu
1.0
6.9859 0.0000 0.0000
0.0000 6.9859 0.0000
0.0000 0.0000 6.9859
Li Ho Sc Au
4 4 4 4
Cartesian
0.0000 0.0000 0.0000 Li
0.0000 3.4930 3.4930 Li
3.4930 0.0000 3.4930 Li
3.4930 3.4930 0.0000 Li
1.7465 1.7465 1.7465 Ho
1.7465 5.2394 5.2394 Ho
5.2394 1.7465 5.2394 Ho
5.2394 5.2394 1.7465 Ho
1.7465 1.7465 5.2394 Sc
1.7465 5.2394 1.7465 Sc
5.2394 1.7465 1.7465 Sc
5.2394 5.2394 5.2394 Sc
0.0000 0.0000 3.4930 Au
0.0000 3.4930 0.0000 Au
3.4930 0.0000 0.0000 Au
3.4930 3.4930 3.4930 Au
```

Calculated density: 8.062 g cm⁻³
M_tot: 0.0 μB per formula unit
Uncorrected energy: -70.86 eV/cell
Formation energy from the elements: -0.404 eV per atom



(4)
# Hf3VAu

A relaxed Hf3VAu crystal (GGA-PBE, the Alexandria database).

POSCAR file:
```
Hf3VAu
1.0
4.8013 0.0000 0.0000
0.0000 4.8013 0.0000
0.0000 0.0000 4.8013
Hf V Au
3 1 1
Cartesian
0.0000 0.0000 2.4006 Hf
0.0000 2.4006 0.0000 Hf
2.4006 0.0000 0.0000 Hf
0.0000 0.0000 0.0000 V
2.4006 2.4006 2.4006 Au
```

Calculated density: 11.753 g cm⁻³
M_tot: 0.0 μB per formula unit
Uncorrected energy: -38.96 eV/cell
ΔE to the lowest computed polymorph: 0 meV per atom
Formation energy from the elements: 0.659 eV per atom



(5)
# RbCdBiAu3

A relaxed RbCdBiAu3 crystal (GGA-PBE, the Alexandria database).

POSCAR file:
```
RbCdBiAu3
1.0
3.6072 -7.0852 0.0000
3.6072 7.0852 0.0000
0.0000 0.0000 7.5500
Rb Cd Bi Au
2 2 2 6
Cartesian
3.6072 4.0083 5.6625 Rb
3.6072 -4.0083 1.8875 Rb
3.6072 5.4748 1.8875 Cd
3.6072 -5.4748 5.6625 Cd
3.6072 0.0352 1.8875 Bi
3.6072 -0.0352 5.6625 Bi
1.3908 0.0000 0.0000 Au
1.3908 0.0000 3.7750 Au
3.6072 2.7957 1.8875 Au
3.6072 -2.7957 5.6625 Au
5.8235 0.0000 0.0000 Au
5.8235 0.0000 3.7750 Au
```

Calculated density: 8.586 g cm⁻³
M_tot: 0.0 μB per formula unit
Uncorrected energy: -33.00 eV/cell
Formation energy from the elements: -0.151 eV per atom



(6)
# MoIr4Os

A relaxed MoIr4Os crystal (GGA-PBE, the Alexandria database).

POSCAR file:
```
MoIr4Os
1.0
0.0000 3.6011 3.6011
3.6011 0.0000 3.6011
3.6011 3.6011 0.0000
Mo Ir Os
1 4 1
Cartesian
0.0000 0.0000 0.0000 Mo
4.4992 2.7030 2.7030 Ir
2.7030 4.4992 2.7030 Ir
2.7030 2.7030 4.4992 Ir
4.4992 4.4992 4.4992 Ir
1.8006 1.8006 1.8006 Os
```

Calculated density: 18.758 g cm⁻³
M_tot: 0.0 μB per formula unit
Uncorrected energy: -54.60 eV/cell
ΔE to the lowest computed polymorph: 462 meV per atom
Formation energy from the elements: 0.484 eV per atom



(7)
# Sm2Dy6HoSc

A relaxed Sm2Dy6HoSc crystal (GGA-PBE, the Alexandria database).

POSCAR file:
```
Sm2Dy6HoSc
1.0
4.5006 -7.4119 0.0000
4.5006 7.4119 0.0000
-1.4120 0.0000 9.4346
Sm Dy Ho Sc
4 12 2 2
Cartesian
2.1800 0.7506 0.4259 Sm
1.4740 -0.7506 5.1432 Sm
6.1152 0.7506 4.2914 Sm
5.4092 -0.7506 9.0087 Sm
2.3403 4.1525 1.8002 Dy
3.1484 4.6094 5.2494 Dy
3.7347 4.6094 8.9024 Dy
3.0505 1.5563 3.6101 Dy
5.9549 4.1525 2.9171 Dy
5.2447 1.5563 1.1072 Dy
2.3445 -1.5563 8.3274 Dy
1.6343 -4.1525 6.5175 Dy
4.5387 -1.5563 5.8245 Dy
3.8544 -4.6094 0.5321 Dy
4.4407 -4.6094 4.1851 Dy
5.2489 -4.1525 7.6343 Dy
4.1476 7.1329 2.3586 Ho
3.4416 -7.1329 7.0759 Ho
3.4416 1.3214 7.0759 Sc
4.1476 -1.3214 2.3586 Sc
```

Calculated density: 7.839 g cm⁻³
M_tot: 0.0 μB per formula unit
Uncorrected energy: -93.44 eV/cell
Formation energy from the elements: 0.124 eV per atom



(8)
# Ba2NaPd6Pb

A relaxed Ba2NaPd6Pb crystal (GGA-PBE, the Alexandria database).

POSCAR file:
```
Ba2NaPd6Pb
1.0
0.0000 5.0604 5.0604
5.0604 0.0000 5.0604
5.0604 5.0604 0.0000
Ba Na Pd Pb
2 1 6 1
Cartesian
2.5302 2.5302 2.5302 Ba
7.5906 7.5906 7.5906 Ba
0.0000 0.0000 0.0000 Na
5.0604 5.0604 2.4580 Pd
5.0604 2.4580 5.0604 Pd
7.6628 5.0604 5.0604 Pd
2.4580 5.0604 5.0604 Pd
5.0604 7.6628 5.0604 Pd
5.0604 5.0604 7.6628 Pd
5.0604 5.0604 5.0604 Pb
```

Calculated density: 7.326 g cm⁻³
M_tot: 0.0 μB per formula unit
Uncorrected energy: -39.74 eV/cell
Formation energy from the elements: 0.029 eV per atom